# YMn2Co2

An optimized crystal structure of YMn2Co2 (GGA-PBEsol, Alexandria via LeMat-Bulk).

Cell: 3.886 3.886 9.179 Å, 90.00 90.00 90.00°
Space group I4/mmm (No. 139)
Asymmetric unit:
Y 0.000 0.000 0.000 (multiplicity 2)
Mn 0.000 0.000 0.385 (multiplicity 4)
Co 0.000 0.500 0.250 (multiplicity 4)

For the final energy, the calculation gives -82.677 eV/cell. For the density, the calculation gives 7.58 g/cm³.